Record 1
YAlCl2: relaxed, PBE.

Output
* ΔE_f (raw): -0.673 eV per atom
* distance to the lowest polymorph of the same formula: 392 meV per atom
* magnetic moment: 0.000 μB per atom

Cell and atoms, written as CIF:
```
data_YAlCl2
_cell_length_a 6.361
_cell_length_b 8.537
_cell_length_c 3.368
_cell_angle_alpha 90.00
_cell_angle_beta 90.00
_cell_angle_gamma 90.00
_symmetry_space_group_name_H-M 'C m m m'
_symmetry_Int_Tables_number 65
_symmetry_space_group_name_Hall '-C 2 2'
loop_
_atom_site_label
_atom_site_fract_x
_atom_site_fract_y
_atom_site_fract_z
Y1 0.000 0.000 0.000
Al1 0.000 0.500 0.000
Cl1 0.250 0.250 0.500
```

Record 2
Y2AlCl: relaxed, PBE.

Output
* ΔE_f (raw): -0.621 eV per atom
* distance to the lowest polymorph of the same formula: 248 meV per atom
* magnetic moment: 0.000 μB per atom

Cell and atoms, written as CIF:
```
data_Y2AlCl
_cell_length_a 4.014
_cell_length_b 6.205
_cell_length_c 8.290
_cell_angle_alpha 90.00
_cell_angle_beta 90.00
_cell_angle_gamma 90.00
_symmetry_space_group_name_H-M 'I m m m'
_symmetry_Int_Tables_number 71
_symmetry_space_group_name_Hall '-I 2 2'
loop_
_atom_site_label
_atom_site_fract_x
_atom_site_fract_y
_atom_site_fract_z
Y1 0.000 0.000 0.226
Al1 0.000 0.500 0.000
Cl1 0.000 0.500 0.500
```

Record 3
Y2AlCl: relaxed, PBE.

Output
* ΔE_f (raw): -0.784 eV per atom
* distance to the lowest polymorph of the same formula: 85 meV per atom
* magnetic moment: 0.000 μB per atom

Cell and atoms, written as CIF:
```
data_Y2AlCl
_cell_length_a 3.6890
_cell_length_b 3.6890
_cell_length_c 25.0341
_cell_angle_alpha 90.00
_cell_angle_beta 90.00
_cell_angle_gamma 120.00
_symmetry_space_group_name_H-M 'R -3 m'
_symmetry_Int_Tables_number 166
_symmetry_space_group_name_Hall '-R 3 2"'
loop_
_atom_site_label
_atom_site_fract_x
_atom_site_fract_y
_atom_site_fract_z
Y1 0.0000 0.0000 0.2491
Al1 0.0000 0.0000 0.5000
Cl1 0.0000 0.0000 0.0000
```

Record 4
YAl2Cl: relaxed, PBE.

Output
* ΔE_f (raw): -0.127 eV per atom
* distance to the lowest polymorph of the same formula: 403 meV per atom
* magnetic moment: 0.074 μB per atom

Cell and atoms, written as CIF:
```
data_YAl2Cl
_cell_length_a 3.251
_cell_length_b 3.251
_cell_length_c 8.407
_cell_angle_alpha 90.00
_cell_angle_beta 90.00
_cell_angle_gamma 90.00
_symmetry_space_group_name_H-M 'P 4/m m m'
_symmetry_Int_Tables_number 123
_symmetry_space_group_name_Hall '-P 4 2'
loop_
_atom_site_label
_atom_site_fract_x
_atom_site_fract_y
_atom_site_fract_z
Y1 0.000 0.000 0.000
Al1 0.500 0.500 0.252
Cl1 0.000 0.000 0.500
```

Record 5
YAl2Cl8: relaxed, PBE.

Output
* ΔE_f (raw): -1.599 eV per atom
* magnetic moment: 0.094 μB per atom

Cell and atoms, written as CIF:
```
data_YAl2Cl8
_cell_length_a 13.406
_cell_length_b 9.124
_cell_length_c 6.395
_cell_angle_alpha 90.00
_cell_angle_beta 97.96
_cell_angle_gamma 90.00
_symmetry_space_group_name_H-M 'C 1 2/m 1'
_symmetry_Int_Tables_number 12
loop_
_symmetry_equiv_pos_as_xyz
'x,y,z'
'-x,-y,-z'
'-x,y,-z'
'x,-y,z'
'x+1/2,y+1/2,z'
'-x+1/2,-y+1/2,-z'
'-x+1/2,y+1/2,-z'
'x+1/2,-y+1/2,z'
loop_
_atom_site_label
_atom_site_fract_x
_atom_site_fract_y
_atom_site_fract_z
Y1 0.000 0.000 0.000
Al1 0.188 0.000 0.645
Cl1 0.102 0.182 0.759
Cl2 0.157 0.500 0.239
Cl3 0.171 0.000 0.294
```

Record 6
YAlCl: relaxed, PBE.

Output
* ΔE_f (raw): -0.745 eV per atom
* magnetic moment: 0.000 μB per atom

Cell and atoms, written as CIF:
```
data_YAlCl
_cell_length_a 3.5487
_cell_length_b 3.5487
_cell_length_c 7.5477
_cell_angle_alpha 90.00
_cell_angle_beta 90.00
_cell_angle_gamma 120.00
_symmetry_space_group_name_H-M 'P 3 m 1'
_symmetry_Int_Tables_number 156
loop_
_symmetry_equiv_pos_as_xyz
'x,y,z'
'-y,x-y,z'
'-x+y,-x,z'
'-y,-x,z'
'-x+y,y,z'
'x,x-y,z'
loop_
_atom_site_label
_atom_site_fract_x
_atom_site_fract_y
_atom_site_fract_z
Y1 0.0000 0.0000 0.0000
Al1 0.3333 0.6667 0.2973
Cl1 0.6667 0.3333 0.7569
```

Record 7
YAlCl: relaxed, PBE.

Output
* ΔE_f (raw): 0.140 eV per atom
* magnetic moment: 0.036 μB per atom

Cell and atoms, written as CIF:
```
data_YAlCl
_cell_length_a 7.059
_cell_length_b 7.059
_cell_length_c 7.059
_cell_angle_alpha 90.00
_cell_angle_beta 90.00
_cell_angle_gamma 90.00
_symmetry_space_group_name_H-M 'F -4 3 m'
_symmetry_Int_Tables_number 216
_symmetry_space_group_name_Hall 'F -4 2 3'
loop_
_atom_site_label
_atom_site_fract_x
_atom_site_fract_y
_atom_site_fract_z
Y1 0.000 0.000 0.000
Al1 0.250 0.250 0.750
Cl1 0.000 0.000 0.500
```

Record 8
YAl2Cl: relaxed, PBE.

Output
* ΔE_f (raw): -0.392 eV per atom
* distance to the lowest polymorph of the same formula: 138 meV per atom
* magnetic moment: 0.000 μB per atom

Cell and atoms, written as CIF:
```
data_YAl2Cl
_cell_length_a 3.505
_cell_length_b 5.153
_cell_length_c 5.274
_cell_angle_alpha 90.00
_cell_angle_beta 91.70
_cell_angle_gamma 90.00
_symmetry_space_group_name_H-M 'P 1 2/m 1'
_symmetry_Int_Tables_number 10
loop_
_symmetry_equiv_pos_as_xyz
'x,y,z'
'-x,-y,-z'
'-x,y,-z'
'x,-y,z'
loop_
_atom_site_label
_atom_site_fract_x
_atom_site_fract_y
_atom_site_fract_z
Y1 0.000 0.000 0.000
Al1 0.493 0.500 0.759
Cl1 0.000 0.000 0.500
```

Summary of total DFT energy (no corrections) in eV per atom
-4.1482; -5.2502; -5.4137; -4.0762; -4.2106; -4.7630; -3.8780; -4.3408
(order as listed above)